DFT (GGA-PBE) results for GdDyHg2 after structural relaxation.

Cell: 5.281 5.281 5.281 Å, 60.00 60.00 60.00°
Each line ends with the local moment (μB).
Atoms (fractional coordinates):
Hg1 0.750 0.750 0.750  0.01
Hg2 0.250 0.250 0.250  0.01
Gd1 0.500 0.500 0.500  7.18
Dy1 0.000 0.000 0.000  0.20

Calculated values
Fermi-level density of states in states/eV/atom: 1.19
Energy of formation from the pure elements in eV/f.u.: -2.0
Size of the total moment in μB/f.u.: 7.7